No. 1
An optimized crystal structure of Tb11Cd9Cu4. Source: Alexandria, functional GGA-PBE.

abc: 3.6535 13.1642 13.1642
angles: 112.46 90.00 90.00
Sites, in units of the cell vectors:
Cd (0.5000, 0.2171, 0.0740)
Cd (0.5000, 0.7829, 0.9260)
Cd (0.5000, 0.6335, 0.1576)
Cd (0.5000, 0.9260, 0.7829)
Cd (0.5000, 0.5000, 0.5000)
Cd (0.5000, 0.1576, 0.6335)
Cd (0.5000, 0.8424, 0.3665)
Cd (0.5000, 0.3665, 0.8424)
Cd (0.5000, 0.0740, 0.2171)
Cu (0.5000, 0.7473, 0.5490)
Cu (0.5000, 0.2527, 0.4510)
Cu (0.5000, 0.5490, 0.7473)
Cu (0.5000, 0.4510, 0.2527)
Tb (0.0000, 0.6938, 0.6938)
Tb (0.0000, 0.0768, 0.4162)
Tb (0.0000, 0.5838, 0.9232)
Tb (0.0000, 0.6297, 0.3703)
Tb (0.0000, 0.1619, 0.8381)
Tb (0.0000, 0.0000, 0.0000)
Tb (0.0000, 0.3703, 0.6297)
Tb (0.0000, 0.4162, 0.0768)
Tb (0.0000, 0.8381, 0.1619)
Tb (0.0000, 0.3062, 0.3062)
Tb (0.0000, 0.9232, 0.5838)

## Properties
For the density of states at the Fermi level, the calculation gives 0.8842 states/eV per atom. The spin magnetization comes out at 0.0 μB/f.u. The calculation puts the formation enthalpy at 0 K at -0.31 eV per atom.


No. 2
An optimized crystal structure of Pr2ZnN. Source: Alexandria, functional GGA-PBE.

abc: 5.0789 6.9692 6.9692
angles: 60.03 68.63 68.63
Sites, in units of the cell vectors:
Pr (0.4301, 0.8889, 0.2508)
Pr (0.8519, 0.5947, 0.7015)
Pr (0.1481, 0.7985, 0.9053)
Pr (0.5699, 0.2492, 0.6111)
N (0.3666, 0.6242, 0.6427)
N (0.6334, 0.8573, 0.8758)
Zn (0.8262, 0.1676, 0.1799)
Zn (0.1738, 0.3201, 0.3324)

## Properties
For the density of states at the Fermi level, the calculation gives 0.6985 states/eV per atom. The spin magnetization comes out at 0.0 μB/f.u. The formation energy without anion corrections comes out at -0.613 eV/atom. As for the energy above the most stable polymorph in this dataset: 0.055 eV/atom.


No. 3
An optimized crystal structure of BeWSe2. Source: Alexandria, functional GGA-PBE.

abc: 3.4154 3.4154 7.3361
angles: 90.00 90.00 125.02
Sites, in units of the cell vectors:
Se (0.0000, 0.0000, 0.5272)
Se (0.0000, 0.0000, 0.9728)
Be (0.5000, 0.5000, 0.7500)
W (0.5000, 0.5000, 0.2500)

## Properties
For the density of states at the Fermi level, the calculation gives 0.6832 states/eV per atom. The spin magnetization comes out at 0.5 μB/f.u. The formation energy without anion corrections comes out at 0.577 eV/atom.


No. 4
An optimized crystal structure of Mg2CdNi. Source: Alexandria, functional GGA-PBE.

abc: 9.5855 9.5855 9.5855
angles: 18.12 18.12 18.12
Sites, in units of the cell vectors:
Mg (0.9854, 0.9854, 0.9854)
Mg (0.5146, 0.5146, 0.5146)
Ni (0.2500, 0.2500, 0.2500)
Cd (0.7500, 0.7500, 0.7500)

## Properties
For the density of states at the Fermi level, the calculation gives 0.5609 states/eV per atom. The spin magnetization comes out at 0.0 μB/f.u. The calculation puts the formation enthalpy at 0 K at 0.02 eV per atom.


No. 5
An optimized crystal structure of BaYW2. Source: Alexandria, functional GGA-PBE.

abc: 6.1796 6.1796 6.1796
angles: 147.71 134.12 57.22
Sites, in units of the cell vectors:
Y (0.2500, 0.7500, 0.5000)
W (0.0059, 0.0059, 0.0000)
W (0.4941, 0.4941, 0.0000)
Ba (0.7500, 0.2500, 0.5000)

## Properties
For the density of states at the Fermi level, the calculation gives 1.1226 states/eV per atom. The spin magnetization comes out at 0.0 μB/f.u. The calculation puts the formation enthalpy at 0 K at 1.35 eV per atom. As for the energy above the most stable polymorph in this dataset: 0.791 eV/atom.


No. 6
An optimized crystal structure of ZnSi2Rh2. Source: Alexandria, functional GGA-PBE.

abc: 7.0945 7.0945 2.7751
angles: 90.00 90.00 90.00
Sites, in units of the cell vectors:
Si (0.1453, 0.3547, 0.0000)
Si (0.3547, 0.8547, 0.0000)
Si (0.6453, 0.1453, 0.0000)
Si (0.8547, 0.6453, 0.0000)
Rh (0.6487, 0.8513, 0.5000)
Rh (0.1487, 0.6487, 0.5000)
Rh (0.3513, 0.1487, 0.5000)
Rh (0.8513, 0.3513, 0.5000)
Zn (0.0000, 0.0000, 0.0000)
Zn (0.5000, 0.5000, 0.0000)

## Properties
For the density of states at the Fermi level, the calculation gives 0.4502 states/eV per atom. The spin magnetization comes out at 0.0 μB/f.u. The formation energy without anion corrections comes out at -0.455 eV/atom.


No. 7
An optimized crystal structure of InBi4Pb15. Source: Alexandria, functional GGA-PBE.

abc: 5.7161 5.7161 19.2715
angles: 90.00 90.00 90.00
Sites, in units of the cell vectors:
Pb (0.5000, 0.5000, 0.0000)
Pb (0.0000, 0.5000, 0.0979)
Pb (0.5000, 0.0000, 0.7021)
Pb (0.5000, 0.0000, 0.0979)
Pb (0.5000, 0.5000, 0.2055)
Pb (0.5000, 0.5000, 0.7945)
Pb (0.5000, 0.0000, 0.2979)
Pb (0.0000, 0.5000, 0.2979)
Pb (0.5000, 0.5000, 0.5965)
Pb (0.0000, 0.5000, 0.7021)
Pb (0.5000, 0.0000, 0.5000)
Pb (0.5000, 0.0000, 0.9021)
Pb (0.0000, 0.5000, 0.9021)
Pb (0.5000, 0.5000, 0.4035)
Pb (0.0000, 0.5000, 0.5000)
Bi (0.0000, 0.0000, 0.1882)
Bi (0.0000, 0.0000, 0.3950)
Bi (0.0000, 0.0000, 0.8118)
Bi (0.0000, 0.0000, 0.6050)
In (0.0000, 0.0000, 0.0000)

## Properties
For the density of states at the Fermi level, the calculation gives 0.4371 states/eV per atom. The spin magnetization comes out at 0.0 μB/f.u. The calculation puts the formation enthalpy at 0 K at 0.04 eV per atom.


No. 8
An optimized crystal structure of Ga2Fe2Pb. Source: Alexandria, functional GGA-PBE.

abc: 7.5769 7.5769 2.9079
angles: 90.00 90.00 90.00
Sites, in units of the cell vectors:
Fe (0.3855, 0.8855, 0.0000)
Fe (0.8855, 0.6145, 0.0000)
Fe (0.1145, 0.3855, 0.0000)
Fe (0.6145, 0.1145, 0.0000)
Ga (0.8272, 0.3272, 0.5000)
Ga (0.6728, 0.8272, 0.5000)
Ga (0.1728, 0.6728, 0.5000)
Ga (0.3272, 0.1728, 0.5000)
Pb (0.5000, 0.5000, 0.0000)
Pb (0.0000, 0.0000, 0.0000)

## Properties
For the density of states at the Fermi level, the calculation gives 0.7596 states/eV per atom. The spin magnetization comes out at 4.3 μB/f.u. The calculation puts the formation enthalpy at 0 K at 0.22 eV per atom. As for the energy above the most stable polymorph in this dataset: 0.000 eV/atom.


No. 9
An optimized crystal structure of Ac16Os5Pt3. Source: Alexandria, functional GGA-PBE.

abc: 8.7478 8.7478 13.9607
angles: 89.89 89.89 59.99
Sites, in units of the cell vectors:
Ac (0.8332, 0.8332, 0.4121)
Ac (0.4792, 0.0290, 0.1556)
Ac (0.4848, 0.4848, 0.1560)
Ac (0.0290, 0.4792, 0.1556)
Ac (0.5143, 0.5143, 0.6599)
Ac (0.0034, 0.0034, 0.1739)
Ac (0.6686, 0.1740, 0.9053)
Ac (0.8397, 0.3356, 0.4050)
Ac (0.5079, 0.9711, 0.6590)
Ac (0.3254, 0.3254, 0.4006)
Ac (0.1669, 0.1669, 0.9008)
Ac (0.1740, 0.6686, 0.9053)
Ac (0.6605, 0.6605, 0.8984)
Ac (0.3356, 0.8397, 0.4050)
Ac (0.0046, 0.0046, 0.6754)
Ac (0.9711, 0.5079, 0.6590)
Pt (0.8331, 0.8331, 0.7874)
Pt (0.6659, 0.1647, 0.2882)
Pt (0.1647, 0.6659, 0.2882)
Os (0.1651, 0.1651, 0.2851)
Os (0.6697, 0.6697, 0.5162)
Os (0.3378, 0.3378, 0.0204)
Os (0.8328, 0.3327, 0.7859)
Os (0.3327, 0.8328, 0.7859)

## Properties
For the density of states at the Fermi level, the calculation gives 0.5389 states/eV per atom. The spin magnetization comes out at 0.0 μB/f.u. The calculation puts the formation enthalpy at 0 K at -0.34 eV per atom.


No. 10
An optimized crystal structure of Er12FePb6. Source: Alexandria, functional GGA-PBE.

abc: 8.3183 8.3183 8.3183
angles: 91.82 91.82 91.82
Sites, in units of the cell vectors:
Pb (0.6318, 0.8690, 0.2591)
Pb (0.7409, 0.3682, 0.1310)
Pb (0.1310, 0.7409, 0.3682)
Pb (0.8690, 0.2591, 0.6318)
Pb (0.2591, 0.6318, 0.8690)
Pb (0.3682, 0.1310, 0.7409)
Er (0.5497, 0.2059, 0.4182)
Er (0.4182, 0.5497, 0.2059)
Er (0.0808, 0.2975, 0.9582)
Er (0.0418, 0.9192, 0.7025)
Er (0.5818, 0.4503, 0.7941)
Er (0.7025, 0.0418, 0.9192)
Er (0.9192, 0.7025, 0.0418)
Er (0.2975, 0.9582, 0.0808)
Er (0.2059, 0.4182, 0.5497)
Er (0.9582, 0.0808, 0.2975)
Er (0.7941, 0.5818, 0.4503)
Er (0.4503, 0.7941, 0.5818)
Fe (0.0000, 0.0000, 0.0000)

## Properties
For the density of states at the Fermi level, the calculation gives 0.7142 states/eV per atom. The spin magnetization comes out at 0.0 μB/f.u. The calculation puts the formation enthalpy at 0 K at -0.25 eV per atom.


No. 11
An optimized crystal structure of FeAg2Te. Source: Alexandria, functional GGA-PBE.

abc: 4.7488 4.7488 4.7488
angles: 60.00 60.00 60.00
Sites, in units of the cell vectors:
Ag (0.2500, 0.2500, 0.2500)
Ag (0.0000, 0.0000, 0.0000)
Te (0.7500, 0.7500, 0.7500)
Fe (0.5000, 0.5000, 0.5000)

## Properties
For the density of states at the Fermi level, the calculation gives 1.1347 states/eV per atom. The spin magnetization comes out at 2.9 μB/f.u. The formation energy without anion corrections comes out at 0.413 eV/atom.


No. 12
An optimized crystal structure of MgZn4Te5. Source: Alexandria, functional GGA-PBE.

abc: 4.4002 4.4002 36.3530
angles: 90.00 90.00 120.00
Sites, in units of the cell vectors:
Te (0.6667, 0.3333, 0.3314)
Te (0.3333, 0.6667, 0.6259)
Te (0.3333, 0.6667, 0.8224)
Te (0.3333, 0.6667, 0.0191)
Te (0.6667, 0.3333, 0.5276)
Te (0.6667, 0.3333, 0.1262)
Te (0.3333, 0.6667, 0.4294)
Te (0.6667, 0.3333, 0.7242)
Te (0.6667, 0.3333, 0.9207)
Te (0.3333, 0.6667, 0.2243)
Zn (0.6667, 0.3333, 0.1998)
Zn (0.6667, 0.3333, 0.9945)
Zn (0.6667, 0.3333, 0.7980)
Zn (0.3333, 0.6667, 0.8963)
Zn (0.3333, 0.6667, 0.5032)
Zn (0.6667, 0.3333, 0.6014)
Zn (0.6667, 0.3333, 0.4050)
Zn (0.3333, 0.6667, 0.6997)
Mg (0.3333, 0.6667, 0.3019)
Mg (0.3333, 0.6667, 0.0969)

## Properties
The spin magnetization comes out at 0.0 μB/f.u. The formation energy without anion corrections comes out at -0.535 eV/atom.


No. 13
An optimized crystal structure of NaSiAuO2. Source: Alexandria, functional GGA-PBE.

abc: 3.5107 8.5272 3.5107
angles: 90.00 90.00 90.00
Sites, in units of the cell vectors:
Au (0.5000, 0.5000, 0.5000)
Si (0.0000, 0.0000, 0.0000)
Na (0.0000, 0.5000, 0.0000)
O (0.0000, 0.0000, 0.5000)
O (0.5000, 0.0000, 0.0000)

## Properties
For the density of states at the Fermi level, the calculation gives 0.1543 states/eV per atom. The spin magnetization comes out at 0.0 μB/f.u. The formation energy without anion corrections comes out at -0.709 eV/atom.


No. 14
An optimized crystal structure of SnOs3Ru. Source: Alexandria, functional GGA-PBE.

abc: 4.7248 4.7248 4.7248
angles: 90.00 90.00 90.00
Sites, in units of the cell vectors:
Sn (0.5000, 0.5000, 0.5000)
Os (0.5000, 0.0000, 0.0000)
Os (0.0000, 0.5000, 0.0000)
Os (0.0000, 0.0000, 0.5000)
Ru (0.0000, 0.0000, 0.0000)

## Properties
For the density of states at the Fermi level, the calculation gives 1.3853 states/eV per atom. The spin magnetization comes out at 0.0 μB/f.u. The calculation puts the formation enthalpy at 0 K at 2.06 eV per atom. As for the energy above the most stable polymorph in this dataset: 0.000 eV/atom.


No. 15
An optimized crystal structure of VCd3Re. Source: Alexandria, functional GGA-PBE.

abc: 5.1872 5.1872 5.1872
angles: 90.00 90.00 90.00
Sites, in units of the cell vectors:
Cd (0.5000, 0.0000, 0.0000)
Cd (0.0000, 0.0000, 0.5000)
Cd (0.0000, 0.5000, 0.0000)
V (0.5000, 0.5000, 0.5000)
Re (0.0000, 0.0000, 0.0000)

## Properties
For the density of states at the Fermi level, the calculation gives 0.7016 states/eV per atom. The spin magnetization comes out at 2.6 μB/f.u. The calculation puts the formation enthalpy at 0 K at 1.45 eV per atom. As for the energy above the most stable polymorph in this dataset: 0.000 eV/atom.


No. 16
An optimized crystal structure of ErTi2Te4. Source: Alexandria, functional GGA-PBE.

abc: 4.0276 6.9566 14.2241
angles: 90.00 90.00 106.83
Sites, in units of the cell vectors:
Te (0.5000, 0.0000, 0.5000)
Te (0.7718, 0.5437, 0.3901)
Te (0.9611, 0.9222, 0.7500)
Te (0.5000, 0.0000, 0.0000)
Te (0.2282, 0.4563, 0.8901)
Te (0.0389, 0.0778, 0.2500)
Te (0.7718, 0.5437, 0.1099)
Te (0.2282, 0.4563, 0.6099)
Ti (0.8777, 0.7554, 0.9322)
Ti (0.8777, 0.7554, 0.5678)
Ti (0.1223, 0.2446, 0.4322)
Ti (0.1223, 0.2446, 0.0678)
Er (0.3651, 0.7303, 0.2500)
Er (0.6349, 0.2697, 0.7500)

## Properties
For the density of states at the Fermi level, the calculation gives 0.9316 states/eV per atom. The spin magnetization comes out at 2.5 μB/f.u. The formation energy without anion corrections comes out at -0.799 eV/atom.


No. 17
An optimized crystal structure of K3DySc2Te6. Source: Alexandria, functional GGA-PBE.

abc: 7.5727 7.5727 8.5883
angles: 98.46 98.46 120.01
Sites, in units of the cell vectors:
K (0.8365, 0.1635, 0.5000)
K (0.1635, 0.8365, 0.5000)
K (0.5000, 0.5000, 0.5000)
Sc (0.6671, 0.3329, 0.0000)
Sc (0.3329, 0.6671, 0.0000)
Te (0.5880, 0.9326, 0.7983)
Te (0.4120, 0.0674, 0.2017)
Te (0.2778, 0.2778, 0.7993)
Te (0.7222, 0.7222, 0.2007)
Te (0.9326, 0.5880, 0.7983)
Te (0.0674, 0.4120, 0.2017)
Dy (0.0000, 0.0000, 0.0000)

## Properties
The spin magnetization comes out at 0.0 μB/f.u. The formation energy without anion corrections comes out at -1.298 eV/atom.


No. 18
An optimized crystal structure of TbPr3Bi3. Source: Alexandria, functional GGA-PBE.

abc: 9.4071 9.4071 8.4551
angles: 56.20 56.20 60.00
Sites, in units of the cell vectors:
Pr (0.6563, 0.1769, 0.2566)
Pr (0.1769, 0.9103, 0.2566)
Pr (0.3437, 0.8231, 0.7434)
Pr (0.0897, 0.3437, 0.7434)
Pr (0.8231, 0.0897, 0.7434)
Pr (0.9103, 0.6563, 0.2566)
Bi (0.5278, 0.9236, 0.2402)
Bi (0.6917, 0.4722, 0.7598)
Bi (0.4722, 0.0764, 0.7598)
Bi (0.3083, 0.5278, 0.2402)
Bi (0.0764, 0.6917, 0.7598)
Bi (0.9236, 0.3083, 0.2402)
Tb (0.6674, 0.6674, 0.9978)
Tb (0.3326, 0.3326, 0.0022)

## Properties
For the density of states at the Fermi level, the calculation gives 0.7042 states/eV per atom. The spin magnetization comes out at 0.0 μB/f.u. The calculation puts the formation enthalpy at 0 K at -0.73 eV per atom. As for the energy above the most stable polymorph in this dataset: 0.090 eV/atom.


No. 19
An optimized crystal structure of CePuCu10. Source: Alexandria, functional GGA-PBE.

abc: 4.0725 5.1174 8.8282
angles: 90.00 90.00 90.00
Sites, in units of the cell vectors:
Cu (0.0000, 0.5000, 0.1673)
Cu (0.0000, 0.5000, 0.8327)
Cu (0.0000, 0.0000, 0.6654)
Cu (0.5000, 0.5000, 0.0000)
Cu (0.0000, 0.0000, 0.3346)
Cu (0.5000, 0.2502, 0.7492)
Cu (0.5000, 0.0000, 0.5000)
Cu (0.5000, 0.7498, 0.2508)
Cu (0.5000, 0.2502, 0.2508)
Cu (0.5000, 0.7498, 0.7492)
Ce (0.0000, 0.0000, 0.0000)
Pu (0.0000, 0.5000, 0.5000)

## Properties
For the density of states at the Fermi level, the calculation gives 1.8990 states/eV per atom. The spin magnetization comes out at 7.1 μB/f.u. The calculation puts the formation enthalpy at 0 K at -0.06 eV per atom.


No. 20
An optimized crystal structure of Ba2InAg6Hg. Source: Alexandria, functional GGA-PBE.

abc: 7.5486 7.5483 7.5581
angles: 60.01 60.01 90.09
Sites, in units of the cell vectors:
Ag (0.2494, 0.2494, 0.5013)
Ag (0.7506, 0.7506, 0.0000)
Ag (0.2494, 0.7506, 0.0000)
Ag (0.2494, 0.2494, 0.0000)
Ag (0.7506, 0.2494, 0.0000)
Ag (0.7506, 0.7506, 0.4987)
In (0.0000, 0.0000, 0.0000)
Ba (0.7500, 0.2500, 0.5000)
Ba (0.2500, 0.7500, 0.5000)
Hg (0.5000, 0.5000, 0.0000)

## Properties
For the density of states at the Fermi level, the calculation gives 0.4901 states/eV per atom. The spin magnetization comes out at 0.0 μB/f.u. The calculation puts the formation enthalpy at 0 K at 0.00 eV per atom.